## Li2PrCu2As2 (GGA-PBE)

Data for a relaxed structure of Li2PrCu2As2.

a b c (Å): 4.165 4.165 8.317
angles (deg): 75.50 75.50 60.00
Element x y z (fractional)
Li 0.142 0.142 0.575
Li 0.858 0.858 0.425
Pr 0.000 0.000 0.000
Cu 0.570 0.570 0.289
Cu 0.430 0.430 0.711
As 0.749 0.749 0.753
As 0.251 0.251 0.247

Its symmetry is R-3m, No. 166. The value obtained for the formation enthalpy at 0 K is -4.922 eV per formula unit.

=====

## NpGeCl (GGA-PBE)

Data for a relaxed structure of NpGeCl.

a b c (Å): 5.122 3.414 9.022
angles (deg): 90.00 106.49 90.00
Element x y z (fractional)
Ge 0.443 0.750 0.887
Ge 0.557 0.250 0.113
Cl 0.828 0.750 0.657
Cl 0.172 0.250 0.343
Np 0.951 0.250 0.902
Np 0.049 0.750 0.098

The uncorrected formation energy is -715 meV per atom. Its symmetry is Cmcm, No. 63.

=====

## Tl2CrCl (GGA-PBE)

Data for a relaxed structure of Tl2CrCl.

a b c (Å): 3.770 3.770 7.351
angles (deg): 90.00 90.00 90.00
Site moments in Bohr magnetons follow the coordinates.
Element x y z (fractional)
Cr 0.500 0.500 0.750  4.10
Tl 0.000 0.000 0.983  0.09
Tl 0.000 0.000 0.517  0.09
Cl 0.500 0.500 0.250  0.07

The uncorrected formation energy is 167 meV per atom. Its symmetry is P4/mmm, No. 123. The value obtained for the energy above the most stable polymorph in this dataset is 247 meV per atom.

=====

## TaBe2W (GGA-PBE)

Data for a relaxed structure of TaBe2W.

a b c (Å): 2.732 2.732 6.975
angles (deg): 90.00 90.00 96.29
Element x y z (fractional)
Be 0.000 0.000 0.993
Be 0.000 0.000 0.507
W 0.500 0.500 0.750
Ta 0.500 0.500 0.250

Its symmetry is Cmmm, No. 65. The value obtained for the formation enthalpy at 0 K is 0.434 eV per formula unit. The value obtained for the energy above the most stable polymorph in this dataset is 333 meV per atom.

=====

## CeThSc2P4 (GGA-PBE)

Data for a relaxed structure of CeThSc2P4.

a b c (Å): 3.970 6.773 6.869
angles (deg): 70.21 90.00 90.00
Site moments in Bohr magnetons follow the coordinates.
Element x y z (fractional)
Ce 0.500 0.500 0.000  0.45
Th 0.000 0.500 0.500  0.01
Sc 0.000 0.000 0.000  0.01
Sc 0.500 0.000 0.500  0.02
P 0.000 0.771 0.745  -0.01
P 0.000 0.229 0.255  -0.01
P 0.500 0.772 0.241  0.00
P 0.500 0.228 0.759  0.00

Its symmetry is P2/m, No. 10. The value obtained for the formation enthalpy at 0 K is -11.954 eV per formula unit.

=====

## Tb2NdSm2Tm (GGA-PBE)

Data for a relaxed structure of Tb2NdSm2Tm.

a b c (Å): 3.397 6.636 17.917
angles (deg): 90.00 90.00 90.00
Element x y z (fractional)
Tb 0.500 0.767 0.352
Tb 0.500 0.233 0.648
Tb 0.000 0.733 0.852
Tb 0.000 0.267 0.148
Nd 0.500 0.500 0.000
Nd 0.000 0.000 0.500
Sm 0.500 0.265 0.316
Sm 0.000 0.765 0.184
Sm 0.500 0.735 0.684
Sm 0.000 0.235 0.816
Tm 0.000 0.000 0.000
Tm 0.500 0.500 0.500

Its symmetry is Pnnm, No. 58. The value obtained for the formation enthalpy at 0 K is 1.598 eV per formula unit.

=====

## Ta5Ti2Nb4 (GGA-PBE)

Data for a relaxed structure of Ta5Ti2Nb4.

a b c (Å): 2.752 7.407 17.403
angles (deg): 35.46 94.54 90.00
Element x y z (fractional)
Ta 0.363 0.462 0.726
Ta 0.637 0.538 0.274
Ta 0.317 0.270 0.633
Ta 0.500 0.000 0.000
Ta 0.683 0.730 0.367
Ti 0.588 0.367 0.175
Ti 0.412 0.633 0.825
Nb 0.778 0.067 0.557
Nb 0.047 0.169 0.095
Nb 0.222 0.933 0.443
Nb 0.953 0.831 0.905

Its symmetry is C2/m, No. 12. The value obtained for the formation enthalpy at 0 K is 2.535 eV per formula unit. The value obtained for the energy above the most stable polymorph in this dataset is 0 meV per atom.

=====

## Sr2ScSn3Pd4 (GGA-PBE)

Data for a relaxed structure of Sr2ScSn3Pd4.

a b c (Å): 4.580 4.580 11.269
angles (deg): 90.00 90.00 90.00
Element x y z (fractional)
Sr 0.500 0.000 0.238
Sr 0.000 0.500 0.762
Sc 0.500 0.500 0.500
Sn 0.000 0.000 0.500
Sn 0.500 0.000 0.875
Sn 0.000 0.500 0.125
Pd 0.500 0.500 0.000
Pd 0.000 0.000 0.000
Pd 0.500 0.000 0.637
Pd 0.000 0.500 0.363

Its symmetry is P-4m2, No. 115. The value obtained for the formation enthalpy at 0 K is -7.591 eV per formula unit.

=====

## YP2ClF (GGA-PBE)

Data for a relaxed structure of YP2ClF.

a b c (Å): 5.490 5.490 5.163
angles (deg): 90.00 90.00 90.00
Site moments in Bohr magnetons follow the coordinates.
Element x y z (fractional)
Y 0.000 0.000 0.000  0.02
P 0.000 0.500 0.000  0.42
P 0.500 0.000 0.000  0.42
F 0.500 0.500 0.500  -0.21
Cl 0.000 0.000 0.500  0.08

The uncorrected formation energy is -43 meV per atom. Its symmetry is P4/mmm, No. 123. The value obtained for the energy above the most stable polymorph in this dataset is 582 meV per atom.

=====

## Ho6SnRh2 (GGA-PBE)

Data for a relaxed structure of Ho6SnRh2.

a b c (Å): 8.464 8.464 8.464
angles (deg): 104.74 110.89 112.89
Element x y z (fractional)
Ho 0.530 0.711 0.819
Ho 0.470 0.289 0.181
Ho 0.108 0.289 0.819
Ho 0.892 0.711 0.181
Ho 0.796 0.763 0.559
Ho 0.204 0.237 0.441
Ho 0.204 0.763 0.967
Ho 0.796 0.237 0.033
Ho 0.692 0.362 0.670
Ho 0.308 0.638 0.330
Ho 0.308 0.978 0.670
Ho 0.692 0.022 0.330
Sn 0.000 0.500 0.500
Sn 0.000 0.000 0.000
Rh 0.500 0.366 0.866
Rh 0.500 0.634 0.134
Rh 0.665 0.000 0.665
Rh 0.335 0.000 0.335

Its symmetry is Immm, No. 71. The value obtained for the formation enthalpy at 0 K is -5.875 eV per formula unit.

=====

## BP2IrO (GGA-PBE)

Data for a relaxed structure of BP2IrO.

a b c (Å): 4.759 4.759 3.659
angles (deg): 90.00 90.00 90.00
Element x y z (fractional)
P 0.000 0.500 0.000
P 0.500 0.000 0.000
B 0.500 0.500 0.500
Ir 0.000 0.000 0.000
O 0.000 0.000 0.500

The uncorrected formation energy is 1104 meV per atom. Its symmetry is P4/mmm, No. 123. The value obtained for the energy above the most stable polymorph in this dataset is 927 meV per atom.

=====

| no. | electronic total energy (eV/atom) | DOS at the Fermi energy (states/eV/atom) | volume (A^3/atom) |
| --- | --- | --- | --- |
| 1 | -4.432 | 0.24 | 17.088 |
| 2 | -7.183 | 0.90 | 25.207 |
| 3 | -3.883 | 0.48 | 26.116 |
| 4 | -7.956 | 0.43 | 12.931 |
| 5 | -7.451 | 0.72 | 21.722 |
| 6 | -4.390 | 1.68 | 33.657 |
| 7 | -10.254 | 1.25 | 18.540 |
| 8 | -5.007 | 0.62 | 23.637 |
| 9 | -4.243 | 1.33 | 31.116 |
| 10 | -5.783 | 0.87 | 25.794 |
| 11 | -5.160 | 1.02 | 16.574 |